1.
First-principles (PBE) data for a geometry-optimized TlCd structure, as listed in Alexandria.

The space group is I-43m (No. 217) and the conventional cell measures 9.3207, 9.3207 and 9.3207 Å, with angles of 90.00, 90.00 and 90.00 degrees. Symmetry generates all atoms from Tl at (0.1382, 0.1382, 0.8618) and Cd at (0.1820, 0.1820, 0.1820).

Its mass density is 5.197 Mg/m³. For the energy of formation, the calculation gives 0.3799 eV per atom. The value obtained for the density of states at the Fermi level is 2.2 states/eV/f.u. For the calculated volume, the calculation gives 50.6 Å³/atom.

=====

2.
First-principles (PBE) data for a geometry-optimized TlCd structure, as listed in Alexandria.

The space group is Immm (No. 71) and the conventional cell measures 3.4481, 5.4302 and 6.2251 Å, with angles of 90.00, 90.00 and 90.00 degrees. Symmetry generates all atoms from Tl at (0.0000, 0.0000, 0.0000) and Cd at (0.0000, 0.0000, 0.5000).

Its mass density is 9.026 Mg/m³. For the energy of formation, the calculation gives 0.0982 eV per atom. The value obtained for the density of states at the Fermi level is 0.8 states/eV/f.u. For the calculated volume, the calculation gives 29.1 Å³/atom.

=====

3.
First-principles (PBE) data for a geometry-optimized TlCd11 structure, as listed in Alexandria.

The space group is I4_1/amd (No. 141, origin choice 2) and the conventional cell measures 12.2143, 12.2143 and 7.8455 Å, with angles of 90.00, 90.00 and 90.00 degrees. Symmetry generates all atoms from Tl at (0.0000, 0.2500, 0.3750), Cd at (0.0000, 0.0000, 0.0000), Cd at (0.0000, 0.2500, 0.8750) and Cd at (0.1206, 0.0458, 0.6743).

Its mass density is 8.177 Mg/m³. For the energy of formation, the calculation gives 0.0157 eV per atom. The value obtained for the density of states at the Fermi level is 4.0 states/eV/f.u. For the calculated volume, the calculation gives 24.4 Å³/atom.

=====

4.
First-principles (PBE) data for a geometry-optimized TlCd structure, as listed in Alexandria.

The space group is P6_3/mmc (No. 194) and the conventional cell measures 8.7361, 8.7361 and 5.2527 Å, with angles of 90.00, 90.00 and 120.00 degrees. Symmetry generates all atoms from Tl at (0.1487, 0.2974, 0.2500) and Cd at (0.1085, 0.5543, 0.7500).

Its mass density is 9.092 Mg/m³. For the energy of formation, the calculation gives 0.0605 eV per atom. The value obtained for the density of states at the Fermi level is 0.9 states/eV/f.u. For the calculated volume, the calculation gives 28.9 Å³/atom.

=====

5.
First-principles (PBE) data for a geometry-optimized Tl5Cd3 structure, as listed in Alexandria.

The space group is Cmmm (No. 65) and the conventional cell measures 9.4002, 9.6671 and 4.9410 Å, with angles of 90.00, 90.00 and 90.00 degrees. Symmetry generates all atoms from Tl at (0.0000, 0.0000, 0.0000), Tl at (0.2325, 0.5000, 0.5000), Tl at (0.2500, 0.2500, 0.0000), Cd at (0.0000, 0.2430, 0.5000) and Cd at (0.0000, 0.5000, 0.0000).

Its mass density is 10.053 Mg/m³. For the energy of formation, the calculation gives 0.0575 eV per atom. The value obtained for the density of states at the Fermi level is 4.4 states/eV/f.u. For the calculated volume, the calculation gives 28.1 Å³/atom. Its energy above the most stable polymorph in this dataset is 13.3 meV per atom.

=====

6.
First-principles (PBE) data for a geometry-optimized TlCd4 structure, as listed in Alexandria.

The space group is P-42_1c (No. 114) and the conventional cell measures 5.6501, 5.6501 and 8.3689 Å, with angles of 90.00, 90.00 and 90.00 degrees. Symmetry generates all atoms from Tl at (0.0000, 0.0000, 0.0000) and Cd at (0.0588, 0.2509, 0.3504).

Its mass density is 8.130 Mg/m³. For the energy of formation, the calculation gives 0.1012 eV per atom. The value obtained for the density of states at the Fermi level is 1.2 states/eV/f.u. For the calculated volume, the calculation gives 26.7 Å³/atom. Its energy above the most stable polymorph in this dataset is 92.4 meV per atom.

=====

7.
First-principles (PBE) data for a geometry-optimized TlCd structure, as listed in Alexandria.

The space group is P4/mmm (No. 123) and the conventional cell measures 3.3531, 3.3531 and 4.8568 Å, with angles of 90.00, 90.00 and 90.00 degrees. Symmetry generates all atoms from Tl at (0.0000, 0.0000, 0.0000) and Cd at (0.5000, 0.5000, 0.5000).

Its mass density is 9.634 Mg/m³. For the energy of formation, the calculation gives 0.0436 eV per atom. The value obtained for the density of states at the Fermi level is 0.6 states/eV/f.u. For the calculated volume, the calculation gives 27.3 Å³/atom.

=====

8.
First-principles (PBE) data for a geometry-optimized TlCd structure, as listed in Alexandria.

The space group is P-6m2 (No. 187) and the conventional cell measures 3.4730, 3.4730 and 5.2379 Å, with angles of 90.00, 90.00 and 120.00 degrees. Symmetry generates all atoms from Tl at (0.0000, 0.0000, 0.0000) and Cd at (0.3333, 0.6667, 0.5000).

Its mass density is 9.615 Mg/m³. For the energy of formation, the calculation gives 0.0495 eV per atom. The value obtained for the density of states at the Fermi level is 0.5 states/eV/f.u. For the calculated volume, the calculation gives 27.4 Å³/atom.

=====

In eV per cell, the VASP energy values for the records above are, in order, -20.17; -6.17; -48.98; -18.96; -28.23; -11.04; -3.19; -3.18.